No. 1
Below is SmHo2Ru3 after structural relaxation, with properties calculated at the PBE level.

abc: 3.4225 4.8128 7.6241
angles: 108.40 90.00 90.00
With the nearest neighbours (Å) after each atom.
Atoms (fractional coordinates):
Sm: 0.0000 0.0000 0.0000  8 Ru 2.95-2.98
Ho: 0.0000 0.3319 0.6638  8 Ru 2.91-2.97
Ho: 0.0000 0.6681 0.3362  8 Ru 2.91-2.97
Ru: 0.5000 0.5000 0.0000  4 Sm 2.95, 4 Ho 2.97
Ru: 0.5000 0.8310 0.6621  6 Ho 2.91-2.95, 2 Sm 2.98
Ru: 0.5000 0.1690 0.3379  6 Ho 2.91-2.95, 2 Sm 2.98

Computed properties:
Symmetry ... Cmmm
Final energy ... -7.23 eV per atom
Formation enthalpy at 0 K ... -0.284 eV/atom
Total magnetic moment ... 0.0 μB per cell

***

No. 2
Below is SmHo2Ru after structural relaxation, with properties calculated at the PBE level.

abc: 3.9039 6.3354 9.1336
angles: 90.00 90.00 107.96
With the nearest neighbours (Å) after each atom.
Atoms (fractional coordinates):
Sm: 0.9253 0.8509 0.2500  2 Ru 2.83
Sm: 0.0747 0.1491 0.7500  2 Ru 2.83
Ho: 0.3554 0.7104 0.5686  3 Ru 2.89-3.15
Ho: 0.6446 0.2896 0.4314  3 Ru 2.89-3.15
Ho: 0.3554 0.7104 0.9314  3 Ru 2.89-3.15
Ho: 0.6446 0.2896 0.0686  3 Ru 2.89-3.15
Ru: 0.7444 0.4886 0.7500  2 Sm 2.83, 6 Ho 2.89-3.15
Ru: 0.2556 0.5114 0.2500  2 Sm 2.83, 6 Ho 2.89-3.15

Computed properties:
Symmetry ... Cmcm
Final energy ... -6.08 eV per atom
Formation enthalpy at 0 K ... -0.289 eV/atom
Total magnetic moment ... 0.0 μB per cell
E above lowest polymorph ... 0.0162 eV per atom